[1]
Ge2Bi2I | PBE-GGA | relaxed

```
Ge2Bi2I
1.0
8.638 0.000 0.000
0.000 8.638 0.000
0.000 0.000 3.931
Ge Bi I
4 4 2
Cartesian
1.099 3.220 0.000
3.220 7.539 0.000
5.417 1.099 0.000
7.539 5.417 0.000
1.219 5.537 1.965
3.100 1.219 1.965
5.537 7.419 1.965
7.419 3.100 1.965
0.000 0.000 0.000
4.319 4.319 0.000
```

Values from the calculation:
ΔE to the lowest computed polymorph: 1.00 eV/f.u.
Final energy: -3.485 eV/atom
V: 29.325 A^3/atom
M_tot: 0.000 μB/f.u.
E_form (uncorrected): 0.22 eV/atom

[2]
Ge2Bi2I | PBE-GGA | relaxed

```
Ge2Bi2I
1.0
-2.691 2.691 5.068
2.691 -2.691 5.068
2.691 2.691 -5.068
Ge Bi I
2 2 1
Cartesian
0.000 0.000 1.270
0.000 0.000 8.865
2.691 0.000 2.534
0.000 2.691 2.534
0.000 0.000 5.068
```

Values from the calculation:
ΔE to the lowest computed polymorph: 0.43 eV/f.u.
Final energy: -3.599 eV/atom
V: 29.355 A^3/atom
M_tot: 0.000 μB/f.u.
E_form (uncorrected): 0.11 eV/atom

[3]
Ge2BiI2 | PBE-GGA | relaxed

```
Ge2BiI2
1.0
8.883 0.000 0.000
0.000 8.883 0.000
0.000 0.000 3.988
Ge Bi I
4 2 4
Cartesian
1.774 2.668 0.000
2.668 7.109 0.000
6.215 1.774 0.000
7.109 6.215 0.000
0.000 0.000 0.000
4.441 4.441 0.000
1.247 5.688 1.994
3.194 1.247 1.994
5.688 7.636 1.994
7.636 3.194 1.994
```

Values from the calculation:
ΔE to the lowest computed polymorph: 0.00 eV/f.u.
Final energy: -3.005 eV/atom
V: 31.464 A^3/atom
M_tot: 0.000 μB/f.u.
E_form (uncorrected): 0.24 eV/atom

[4]
GeBi5I2 | PBE-GGA | relaxed

```
GeBi5I2
1.0
-3.695 3.695 5.711
3.695 -3.695 5.711
3.695 3.695 -5.711
Ge Bi I
1 5 2
Cartesian
0.000 0.000 0.000
2.133 2.133 -0.443
1.562 -1.562 5.268
0.000 0.000 2.952
-1.562 1.562 5.268
1.562 1.562 5.268
3.695 0.000 2.450
0.000 3.695 2.450
```

Values from the calculation:
Final energy: -3.173 eV/atom
V: 38.988 A^3/atom
M_tot: 0.000 μB/f.u.
E_form (uncorrected): 0.22 eV/atom

[5]
GeBi3I | PBE-GGA | relaxed

```
GeBi3I
1.0
5.621 0.000 0.000
0.000 5.621 0.000
0.000 0.000 5.621
Ge Bi I
1 3 1
Cartesian
0.000 0.000 0.000
0.000 0.000 2.810
0.000 2.810 0.000
2.810 0.000 0.000
2.810 2.810 2.810
```

Values from the calculation:
ΔE to the lowest computed polymorph: 0.00 eV/f.u.
Final energy: -3.055 eV/atom
V: 35.519 A^3/atom
M_tot: 0.000 μB/f.u.
E_form (uncorrected): 0.51 eV/atom

[6]
Ge2BiI2 | PBE-GGA | relaxed

```
Ge2BiI2
1.0
-2.554 2.554 5.982
2.554 -2.554 5.982
2.554 2.554 -5.982
Ge Bi I
2 1 2
Cartesian
0.000 0.000 1.306
0.000 0.000 10.658
0.000 0.000 5.982
2.554 0.000 2.991
0.000 2.554 2.991
```

Values from the calculation:
ΔE to the lowest computed polymorph: 1.13 eV/f.u.
Final energy: -2.778 eV/atom
V: 31.213 A^3/atom
M_tot: 0.000 μB/f.u.
E_form (uncorrected): 0.46 eV/atom

[7]
Ge2Bi2I | PBE-GGA | relaxed

```
Ge2Bi2I
1.0
8.976 0.000 0.000
0.000 8.976 0.000
0.000 0.000 3.902
Ge Bi I
4 4 2
Cartesian
1.091 3.397 0.000
3.397 7.885 0.000
5.580 1.091 0.000
7.885 5.580 0.000
1.214 5.702 1.951
3.274 1.214 1.951
5.702 7.762 1.951
7.762 3.274 1.951
0.000 0.000 1.951
4.488 4.488 1.951
```

Values from the calculation:
ΔE to the lowest computed polymorph: 1.03 eV/f.u.
Final energy: -3.478 eV/atom
V: 31.444 A^3/atom
M_tot: 0.000 μB/f.u.
E_form (uncorrected): 0.23 eV/atom

[8]
GeBiI3 | PBE-GGA | relaxed

```
GeBiI3
1.0
6.166 0.000 0.000
0.000 6.166 0.000
0.000 0.000 6.166
Ge Bi I
1 1 3
Cartesian
0.000 0.000 0.000
3.083 3.083 3.083
0.000 3.083 3.083
3.083 0.000 3.083
3.083 3.083 0.000
```

Values from the calculation:
ΔE to the lowest computed polymorph: 0.76 eV/f.u.
Final energy: -2.278 eV/atom
V: 46.891 A^3/atom
M_tot: 1.534 μB/f.u.
E_form (uncorrected): 0.35 eV/atom